Below is RbBaW2 after structural relaxation, with properties calculated at the PBE-GGA level.

Unit cell a=4.2738 b=4.2738 c=24.1208 alpha=90.00 beta=90.00 gamma=90.00
With the nearest neighbours (Å) after each atom.
Space group I-42d (No. 122)
Asymmetric unit:
1 Rb 0.0000 0.0000 0.0000  4 Ba 3.02
2 Ba 0.0000 0.0000 0.5000  4 Rb 3.02, 4 W 3.29
3 W 0.1764 0.2500 0.6250  2 W 2.62

E_form: 8.1 eV per formula unit
Total magnetic moment: 0.00 μB/atom
Relative energy among the computed polymorphs: 0.000 eV per atom
Crystal system: tetragonal

=====

Below is KRb2Tl4 after structural relaxation, with properties calculated at the PBE-GGA level.

Unit cell a=4.2131 b=34.1911 c=4.1792 alpha=90.00 beta=90.00 gamma=90.00
With the nearest neighbours (Å) after each atom.
Space group Cmmm (No. 65)
Asymmetric unit:
1 K 0.0000 0.0000 0.0000  10 Tl 3.72-3.85
2 Rb 0.0000 0.3167 0.5000  5 Tl 3.83-4.03, 4 Rb 4.18-4.21
3 Tl 0.0000 0.1126 0.0000  4 Tl 3.38
4 Tl 0.0000 0.4345 0.5000  4 Tl 3.38, 4 K 3.72

E_form: -0.4 eV per formula unit
Total magnetic moment: 0.00 μB/atom
Crystal system: orthorhombic

=====

Below is NaRuRh after structural relaxation, with properties calculated at the PBE-GGA level.

Unit cell a=2.7112 b=18.6213 c=4.2838 alpha=90.00 beta=90.00 gamma=90.00
With the nearest neighbours (Å) after each atom.
Space group Cmcm (No. 63)
Asymmetric unit:
1 Na 0.0000 0.1917 0.2500  2 Na 2.71, 1 Rh 2.79
2 Ru 0.0000 0.4155 0.2500  6 Rh 2.66-2.71, 2 Ru 2.71
3 Rh 0.0000 0.0418 0.2500  4 Rh 2.65-2.71, 6 Ru 2.66-2.71, 1 Na 2.79

E_form: 1.2 eV per formula unit
Total magnetic moment: 0.00 μB/atom
Relative energy among the computed polymorphs: 0.092 eV per atom
Crystal system: orthorhombic

=====

Below is LaZnSe after structural relaxation, with properties calculated at the PBE-GGA level.

Unit cell a=8.4127 b=4.8683 c=8.4278 alpha=90.00 beta=109.43 gamma=90.00
With the nearest neighbours (Å) after each atom.
Space group C2/m (No. 12)
Asymmetric unit:
1 La 0.0819 0.0000 0.2461  4 Se 2.94-3.17
2 Zn 0.1692 0.5000 0.0088  1 Se 2.75, 3 Zn 2.80-2.82
3 Se 0.2154 0.0000 0.6447  1 Zn 2.75, 3 La 2.94

Total magnetic moment: 0.00 μB/atom
Relative energy among the computed polymorphs: 0.000 eV per atom
Crystal system: monoclinic
Energy relative to the elements, uncorrected: -3.5 eV/f.u.

=====

Which value of total magnetic moment does entry 4 give?
0.00 μB/atom

=====

Please write out number 3 again, unchanged.
Below is NaRuRh after structural relaxation, with properties calculated at the PBE-GGA level.

Unit cell a=2.7112 b=18.6213 c=4.2838 alpha=90.00 beta=90.00 gamma=90.00
With the nearest neighbours (Å) after each atom.
Space group Cmcm (No. 63)
Asymmetric unit:
1 Na 0.0000 0.1917 0.2500  2 Na 2.71, 1 Rh 2.79
2 Ru 0.0000 0.4155 0.2500  6 Rh 2.66-2.71, 2 Ru 2.71
3 Rh 0.0000 0.0418 0.2500  4 Rh 2.65-2.71, 6 Ru 2.66-2.71, 1 Na 2.79

E_form: 1.2 eV per formula unit
Total magnetic moment: 0.00 μB/atom
Relative energy among the computed polymorphs: 0.092 eV per atom
Crystal system: orthorhombic

=====

What is the formula in the first record?
RbBaW2